# 1
Here is crystalline Nd2PuSc at its relaxed geometry from Alexandria. Energies are from PBE-GGA.

Properties
Its total energy is -0.2670 Ha/atom. For the energy above the most stable polymorph in this dataset, the calculation gives 0.156 eV per atom. The density of states at the Fermi level comes out at 12.01 states/eV/f.u. The calculation puts the total magnetization at 6.68 μB per formula unit. The space-group type is R-3m (166). The calculation puts the formation enthalpy at 0 K at 0.284 eV per atom.

Lattice parameters (Å, degrees): 12.3314 12.3314 12.3314 16.03 16.03 16.03
Last column: nearest neighbours and their distance in Å.
Element x y z (fractional)
Nd  0.0907  0.0907  0.0907  1 Pu 3.31, 3 Sc 3.41, 6 Nd 3.44
Nd  0.9093  0.9093  0.9093  1 Pu 3.31, 3 Sc 3.41, 6 Nd 3.44
Pu  0.0000  0.0000  0.0000  2 Nd 3.31, 6 Pu 3.44
Sc  0.5000  0.5000  0.5000  6 Nd 3.41, 6 Sc 3.44

# 2
Here is crystalline NdPuSc2 at its relaxed geometry from Alexandria. Energies are from PBE-GGA.

Properties
Its total energy is -0.2830 Ha/atom. For the energy above the most stable polymorph in this dataset, the calculation gives 0.127 eV per atom. The density of states at the Fermi level comes out at 11.78 states/eV/f.u. The calculation puts the total magnetization at 5.38 μB per formula unit. The space-group type is R-3m (166). The calculation puts the formation enthalpy at 0 K at 0.240 eV per atom.

Lattice parameters (Å, degrees): 11.8471 11.8471 11.8471 15.91 15.91 15.91
Last column: nearest neighbours and their distance in Å.
Element x y z (fractional)
Nd  0.0000  0.0000  0.0000  2 Sc 3.25, 6 Nd 3.28
Pu  0.5000  0.5000  0.5000  6 Sc 3.21, 6 Pu 3.28
Sc  0.0926  0.0926  0.0926  3 Pu 3.21, 1 Nd 3.25, 6 Sc 3.28
Sc  0.9074  0.9074  0.9074  3 Pu 3.21, 1 Nd 3.25, 6 Sc 3.28

# 3
Here is crystalline NdPuSc2 at its relaxed geometry from Alexandria. Energies are from PBE-GGA.

Properties
Its total energy is -0.2856 Ha/atom. For the energy above the most stable polymorph in this dataset, the calculation gives 0.057 eV per atom. The density of states at the Fermi level comes out at 8.00 states/eV/f.u. The calculation puts the total magnetization at 5.79 μB per formula unit. The space-group type is Fm-3m (225). The calculation puts the formation enthalpy at 0 K at 0.170 eV per atom.

Lattice parameters (Å, degrees): 5.3857 5.3857 5.3857 60.00 60.00 60.00
Last column: nearest neighbours and their distance in Å.
Element x y z (fractional)
Nd  0.0000  0.0000  0.0000  8 Sc 3.30
Pu  0.5000  0.5000  0.5000  8 Sc 3.30
Sc  0.2500  0.2500  0.2500  4 Nd 3.30, 4 Pu 3.30
Sc  0.7500  0.7500  0.7500  4 Nd 3.30, 4 Pu 3.30

# 4
Here is crystalline Nd2PuSc at its relaxed geometry from Alexandria. Energies are from PBE-GGA.

Properties
Its total energy is -0.2717 Ha/atom. For the energy above the most stable polymorph in this dataset, the calculation gives 0.028 eV per atom. The density of states at the Fermi level comes out at 12.30 states/eV/f.u. The calculation puts the total magnetization at 6.23 μB per formula unit. The space-group type is R3m (160). The calculation puts the formation enthalpy at 0 K at 0.155 eV per atom.

Lattice parameters (Å, degrees): 11.5577 11.5577 11.5577 17.52 17.52 17.52
Last column: nearest neighbours and their distance in Å.
Element x y z (fractional)
Nd  0.0000  0.0000  0.0000  3 Sc 3.43, 6 Nd 3.52, 3 Pu 3.54
Nd  0.1620  0.1620  0.1620  3 Sc 3.43, 6 Nd 3.52, 3 Pu 3.58
Pu  0.5816  0.5816  0.5816  6 Pu 3.52, 6 Nd 3.54-3.58
Sc  0.4144  0.4144  0.4144  6 Nd 3.43, 6 Sc 3.52

# 5
Here is crystalline NdPu2Sc at its relaxed geometry from Alexandria. Energies are from PBE-GGA.

Properties
Its total energy is -0.3603 Ha/atom. For the energy above the most stable polymorph in this dataset, the calculation gives 0.000 eV per atom. The density of states at the Fermi level comes out at 11.97 states/eV/f.u. The calculation puts the total magnetization at 0.19 μB per formula unit. The space-group type is R3m (160). The calculation puts the formation enthalpy at 0 K at 0.136 eV per atom.

Lattice parameters (Å, degrees): 9.4261 9.4261 9.4261 22.01 22.01 22.01
Last column: nearest neighbours and their distance in Å.
Element x y z (fractional)
Nd  0.0000  0.0000  0.0000  3 Pu 3.43, 3 Sc 3.55, 6 Nd 3.60
Pu  0.1427  0.1427  0.1427  3 Pu 2.40
Pu  0.4322  0.4322  0.4322  3 Pu 2.40
Sc  0.5624  0.5624  0.5624  3 Pu 3.16

# 6
Here is crystalline Nd2PuSc at its relaxed geometry from Alexandria. Energies are from PBE-GGA.

Properties
Its total energy is -0.2728 Ha/atom. For the energy above the most stable polymorph in this dataset, the calculation gives 0.000 eV per atom. The density of states at the Fermi level comes out at 8.31 states/eV/f.u. The calculation puts the total magnetization at 5.63 μB per formula unit. The space-group type is P4/mmm (123). The calculation puts the formation enthalpy at 0 K at 0.128 eV per atom.

Lattice parameters (Å, degrees): 3.5186 3.5186 9.8438 90.00 90.00 90.00
Last column: nearest neighbours and their distance in Å.
Element x y z (fractional)
Nd  0.0000  0.0000  0.2414  4 Sc 3.44, 4 Nd 3.52, 4 Pu 3.56
Nd  0.0000  0.0000  0.7586  4 Sc 3.44, 4 Nd 3.52, 4 Pu 3.56
Pu  0.5000  0.5000  0.5000  4 Pu 3.52, 8 Nd 3.56
Sc  0.5000  0.5000  0.0000  8 Nd 3.44, 4 Sc 3.52

# 7
Here is crystalline Nd2PuSc at its relaxed geometry from Alexandria. Energies are from PBE-GGA.

Properties
Its total energy is -0.2695 Ha/atom. For the energy above the most stable polymorph in this dataset, the calculation gives 0.088 eV per atom. The density of states at the Fermi level comes out at 13.61 states/eV/f.u. The calculation puts the total magnetization at 7.49 μB per formula unit. The space-group type is Fm-3m (225). The calculation puts the formation enthalpy at 0 K at 0.216 eV per atom.

Lattice parameters (Å, degrees): 5.5702 5.5702 5.5702 60.00 60.00 60.00
Last column: nearest neighbours and their distance in Å.
Element x y z (fractional)
Nd  0.2500  0.2500  0.2500  4 Sc 3.41, 4 Pu 3.41
Nd  0.7500  0.7500  0.7500  4 Sc 3.41, 4 Pu 3.41
Pu  0.0000  0.0000  0.0000  8 Nd 3.41
Sc  0.5000  0.5000  0.5000  8 Nd 3.41

# 8
Here is crystalline NdPuSc2 at its relaxed geometry from Alexandria. Energies are from PBE-GGA.

Properties
Its total energy is -0.2877 Ha/atom. For the energy above the most stable polymorph in this dataset, the calculation gives 0.000 eV per atom. The density of states at the Fermi level comes out at 10.64 states/eV/f.u. The calculation puts the total magnetization at 6.13 μB per formula unit. The space-group type is P4/mmm (123). The calculation puts the formation enthalpy at 0 K at 0.112 eV per atom.

Lattice parameters (Å, degrees): 3.3922 3.3922 9.4609 90.00 90.00 90.00
Last column: nearest neighbours and their distance in Å.
Element x y z (fractional)
Nd  0.0000  0.0000  0.0000  4 Nd 3.39, 8 Sc 3.47
Pu  0.0000  0.0000  0.5000  8 Sc 3.27, 4 Pu 3.39
Sc  0.5000  0.5000  0.2646  4 Pu 3.27, 4 Sc 3.39, 4 Nd 3.47
Sc  0.5000  0.5000  0.7354  4 Pu 3.27, 4 Sc 3.39, 4 Nd 3.47

Repeat the third record exactly.
Here is crystalline NdPuSc2 at its relaxed geometry from Alexandria. Energies are from PBE-GGA.

Properties
Its total energy is -0.2856 Ha/atom. For the energy above the most stable polymorph in this dataset, the calculation gives 0.057 eV per atom. The density of states at the Fermi level comes out at 8.00 states/eV/f.u. The calculation puts the total magnetization at 5.79 μB per formula unit. The space-group type is Fm-3m (225). The calculation puts the formation enthalpy at 0 K at 0.170 eV per atom.

Lattice parameters (Å, degrees): 5.3857 5.3857 5.3857 60.00 60.00 60.00
Last column: nearest neighbours and their distance in Å.
Element x y z (fractional)
Nd  0.0000  0.0000  0.0000  8 Sc 3.30
Pu  0.5000  0.5000  0.5000  8 Sc 3.30
Sc  0.2500  0.2500  0.2500  4 Nd 3.30, 4 Pu 3.30
Sc  0.7500  0.7500  0.7500  4 Nd 3.30, 4 Pu 3.30

- total magnetization of number 6 (Nd2PuSc)?
  5.63 μB per formula unit

- Among the records above, which one has the lowest total energy?
  NdPu2Sc

- Look up the total magnetization of the second one.
  5.38 μB per formula unit